Record 1
Computed, not measured: a relaxed structure of TbYAg2Sb4 at the PBE-GGA level of DFT.

Unit cell a=4.3467 b=4.3467 c=10.4031 alpha=90.00 beta=90.00 gamma=90.00
Space group P4mm (No. 99)
One atom of each set of equivalent atoms:
1 Tb 0.0000 0.0000 0.0000 x1
2 Y 0.5000 0.5000 0.5266 x1
3 Ag 0.0000 0.5000 0.2633 x2
4 Sb 0.0000 0.0000 0.4482 x1
5 Sb 0.0000 0.5000 0.7634 x2
6 Sb 0.5000 0.5000 0.0782 x1

Properties
Magnetic moment ... 0.0 Bohr magnetons per cell
Uncorrected energy ... -4.7839 eV/atom

Record 2
Computed, not measured: a relaxed structure of NbCuHgPt at the PBE-GGA level of DFT.

Unit cell a=6.4453 b=6.4453 c=6.4453 alpha=90.00 beta=90.00 gamma=90.00
Space group F-43m (No. 216)
One atom of each set of equivalent atoms:
1 Nb 0.0000 0.0000 0.0000 x4
2 Cu 0.0000 0.0000 0.5000 x4
3 Hg 0.2500 0.2500 0.2500 x4
4 Pt 0.2500 0.2500 0.7500 x4

Properties
Magnetic moment ... 0.0 Bohr magnetons per cell
Relative energy among the computed polymorphs ... 0.0472 eV per atom
DFT formation energy ... -0.008 eV/atom

Record 3
Computed, not measured: a relaxed structure of BaLuSb at the PBE-GGA level of DFT.

Unit cell a=7.5145 b=7.5145 c=7.5145 alpha=90.00 beta=90.00 gamma=90.00
Space group F-43m (No. 216)
One atom of each set of equivalent atoms:
1 Ba 0.0000 0.0000 0.0000 x4
2 Lu 0.2500 0.2500 0.2500 x4
3 Sb 0.0000 0.0000 0.5000 x4

Properties
Magnetic moment ... 0.0 Bohr magnetons per cell
Uncorrected energy ... -3.5739 eV/atom